(1)
First-principles (PBE) data for an optimized crystal structure of Tc2Ni3Pt4, as listed in the Alexandria database.

Computed properties:
Energy of formation ... -0.111 eV per atom
Crystal system ... monoclinic

abc: 8.637 3.794 8.057
angles: 90.00 109.48 90.00
Space group C2/m (No. 12)
Unique sites:
Tc (0.173, 0.000, 0.232) [4 per cell]
Ni (0.000, 0.500, 0.000) [2 per cell]
Ni (0.172, 0.000, 0.553) [4 per cell]
Pt (0.008, 0.500, 0.336) [4 per cell]
Pt (0.164, 0.000, 0.890) [4 per cell]


(2)
First-principles (PBE) data for an optimized crystal structure of Tc2NiPt, as listed in the Alexandria database.

Computed properties:
E above lowest polymorph ... 30.9 meV/atom
Energy of formation ... -0.033 eV per atom
Crystal system ... tetragonal

abc: 3.728 3.728 4.004
angles: 90.00 90.00 90.00
Space group P4/mmm (No. 123)
Unique sites:
Tc (0.000, 0.500, 0.000) [2 per cell]
Ni (0.000, 0.000, 0.500) [1 per cell]
Pt (0.500, 0.500, 0.500) [1 per cell]


(3)
First-principles (PBE) data for an optimized crystal structure of Tc3NiPt, as listed in the Alexandria database.

Computed properties:
E above lowest polymorph ... 0.0 meV/atom
Energy of formation ... 1.338 eV per atom
Crystal system ... cubic

abc: 4.362 4.362 4.362
angles: 90.00 90.00 90.00
Space group Pm-3m (No. 221)
Unique sites:
Tc (0.000, 0.000, 0.500) [3 per cell]
Ni (0.000, 0.000, 0.000) [1 per cell]
Pt (0.500, 0.500, 0.500) [1 per cell]


(4)
First-principles (PBE) data for an optimized crystal structure of Tc2NiPt, as listed in the Alexandria database.

Computed properties:
E above lowest polymorph ... 21.7 meV/atom
Energy of formation ... -0.042 eV per atom
Crystal system ... tetragonal

abc: 3.721 3.721 8.024
angles: 90.00 90.00 90.00
Space group I4/mmm (No. 139)
Unique sites:
Tc (0.000, 0.500, 0.250) [4 per cell]
Ni (0.000, 0.000, 0.000) [2 per cell]
Pt (0.000, 0.000, 0.500) [2 per cell]


(5)
First-principles (PBE) data for an optimized crystal structure of TcNiPt2, as listed in the Alexandria database.

Computed properties:
E above lowest polymorph ... 0.0 meV/atom
Energy of formation ... -0.153 eV per atom
Crystal system ... tetragonal

abc: 2.736 2.736 7.581
angles: 90.00 90.00 90.00
Space group P4/mmm (No. 123)
Unique sites:
Tc (0.000, 0.000, 0.000) [1 per cell]
Ni (0.000, 0.000, 0.500) [1 per cell]
Pt (0.500, 0.500, 0.255) [2 per cell]


(6)
First-principles (PBE) data for an optimized crystal structure of Tc2NiPt, as listed in the Alexandria database.

Computed properties:
E above lowest polymorph ... 110.8 meV/atom
Energy of formation ... 0.047 eV per atom
Crystal system ... tetragonal

abc: 3.156 3.156 5.655
angles: 90.00 90.00 90.00
Space group P4mm (No. 99)
Unique sites:
Tc (0.000, 0.000, 0.000) [1 per cell]
Tc (0.500, 0.500, 0.245) [1 per cell]
Ni (0.000, 0.000, 0.475) [1 per cell]
Pt (0.500, 0.500, 0.711) [1 per cell]


(7)
First-principles (PBE) data for an optimized crystal structure of TcNi2Pt3, as listed in the Alexandria database.

Computed properties:
Energy of formation ... -0.126 eV per atom
Crystal system ... tetragonal

abc: 2.729 2.729 11.233
angles: 90.00 90.00 90.00
Space group P4/mmm (No. 123)
Unique sites:
Tc (0.000, 0.000, 0.000) [1 per cell]
Ni (0.000, 0.000, 0.340) [2 per cell]
Pt (0.500, 0.500, 0.173) [2 per cell]
Pt (0.500, 0.500, 0.500) [1 per cell]


(8)
First-principles (PBE) data for an optimized crystal structure of Tc2NiPt, as listed in the Alexandria database.

Computed properties:
E above lowest polymorph ... 239.6 meV/atom
Energy of formation ... 0.176 eV per atom
Crystal system ... cubic

abc: 6.102 6.102 6.102
angles: 90.00 90.00 90.00
Space group F-43m (No. 216)
Unique sites:
Tc (0.000, 0.000, 0.000) [4 per cell]
Tc (0.250, 0.250, 0.250) [4 per cell]
Ni (0.000, 0.000, 0.500) [4 per cell]
Pt (0.250, 0.250, 0.750) [4 per cell]


(9)
First-principles (PBE) data for an optimized crystal structure of TcNiPt, as listed in the Alexandria database.

Computed properties:
E above lowest polymorph ... 7.6 meV/atom
Energy of formation ... -0.106 eV per atom
Crystal system ... orthorhombic

abc: 4.717 4.341 8.049
angles: 90.00 90.00 90.00
Space group Pnma (No. 62)
Unique sites:
Tc (0.159, 0.250, 0.002) [4 per cell]
Ni (0.174, 0.250, 0.668) [4 per cell]
Pt (0.160, 0.250, 0.337) [4 per cell]


(10)
First-principles (PBE) data for an optimized crystal structure of TcNiPt2, as listed in the Alexandria database.

Computed properties:
E above lowest polymorph ... 587.7 meV/atom
Energy of formation ... 0.435 eV per atom
Crystal system ... tetragonal

abc: 6.850 6.850 5.344
angles: 90.00 90.00 90.00
Space group I-42d (No. 122)
Unique sites:
Tc (0.000, 0.000, 0.000) [4 per cell]
Ni (0.000, 0.000, 0.500) [4 per cell]
Pt (0.242, 0.750, 0.625) [8 per cell]


(11)
First-principles (PBE) data for an optimized crystal structure of TcNi2Pt8, as listed in the Alexandria database.

Computed properties:
Energy of formation ... -0.027 eV per atom
Crystal system ... orthorhombic

abc: 3.884 7.316 11.873
angles: 90.00 90.00 90.00
Space group Immm (No. 71)
Unique sites:
Tc (0.000, 0.000, 0.000) [2 per cell]
Ni (0.000, 0.000, 0.328) [4 per cell]
Pt (0.000, 0.221, 0.500) [4 per cell]
Pt (0.000, 0.266, 0.163) [8 per cell]
Pt (0.000, 0.500, 0.341) [4 per cell]


(12)
First-principles (PBE) data for an optimized crystal structure of Tc2NiPt, as listed in the Alexandria database.

Computed properties:
E above lowest polymorph ... 6.2 meV/atom
Energy of formation ... -0.058 eV per atom
Crystal system ... tetragonal

abc: 3.849 3.849 7.534
angles: 90.00 90.00 90.00
Space group I-4m2 (No. 119)
Unique sites:
Tc (0.000, 0.000, 0.000) [2 per cell]
Tc (0.000, 0.500, 0.250) [2 per cell]
Ni (0.000, 0.000, 0.500) [2 per cell]
Pt (0.000, 0.500, 0.750) [2 per cell]


(13)
First-principles (PBE) data for an optimized crystal structure of Tc6Ni7Pt16, as listed in the Alexandria database.

Computed properties:
Energy of formation ... 0.053 eV per atom
Crystal system ... cubic

abc: 12.052 12.052 12.052
angles: 90.00 90.00 90.00
Space group Fm-3m (No. 225)
Unique sites:
Tc (0.000, 0.000, 0.152) [24 per cell]
Ni (0.000, 0.000, 0.500) [4 per cell]
Ni (0.000, 0.250, 0.250) [24 per cell]
Pt (0.118, 0.118, 0.382) [32 per cell]
Pt (0.161, 0.161, 0.161) [32 per cell]


(14)
First-principles (PBE) data for an optimized crystal structure of TcNiPt2, as listed in the Alexandria database.

Computed properties:
E above lowest polymorph ... 31.9 meV/atom
Energy of formation ... -0.121 eV per atom
Crystal system ... tetragonal

abc: 3.814 3.814 7.788
angles: 90.00 90.00 90.00
Space group I4/mmm (No. 139)
Unique sites:
Tc (0.000, 0.000, 0.000) [2 per cell]
Ni (0.000, 0.000, 0.500) [2 per cell]
Pt (0.000, 0.500, 0.250) [4 per cell]


(15)
First-principles (PBE) data for an optimized crystal structure of Tc2NiPt, as listed in the Alexandria database.

Computed properties:
E above lowest polymorph ... 1.9 meV/atom
Energy of formation ... -0.062 eV per atom
Crystal system ... tetragonal

abc: 2.730 2.730 7.496
angles: 90.00 90.00 90.00
Space group P4mm (No. 99)
Unique sites:
Tc (0.000, 0.000, 0.000) [1 per cell]
Tc (0.500, 0.500, 0.247) [1 per cell]
Ni (0.000, 0.000, 0.483) [1 per cell]
Pt (0.500, 0.500, 0.732) [1 per cell]


(16)
First-principles (PBE) data for an optimized crystal structure of Tc2NiPt, as listed in the Alexandria database.

Computed properties:
E above lowest polymorph ... 148.2 meV/atom
Energy of formation ... 0.084 eV per atom
Crystal system ... trigonal

abc: 2.7138 2.7138 26.3943
angles: 90.00 90.00 120.00
Space group R-3m (No. 166, hexagonal axes)
Unique sites:
Tc (0.0000, 0.0000, 0.2456) [6 per cell]
Ni (0.0000, 0.0000, 0.5000) [3 per cell]
Pt (0.0000, 0.0000, 0.0000) [3 per cell]


(17)
First-principles (PBE) data for an optimized crystal structure of Tc4NiPt, as listed in the Alexandria database.

Computed properties:
Energy of formation ... 0.417 eV per atom
Crystal system ... cubic

abc: 7.152 7.152 7.152
angles: 90.00 90.00 90.00
Space group F-43m (No. 216)
Unique sites:
Tc (0.125, 0.125, 0.125) [16 per cell]
Ni (0.250, 0.250, 0.750) [4 per cell]
Pt (0.000, 0.000, 0.500) [4 per cell]


(18)
First-principles (PBE) data for an optimized crystal structure of TcNi4Pt, as listed in the Alexandria database.

Computed properties:
E above lowest polymorph ... 0.0 meV/atom
Energy of formation ... -0.029 eV per atom
Crystal system ... orthorhombic

abc: 3.646 10.821 7.496
angles: 90.00 90.00 90.00
Space group Cmc2_1 (No. 36)
Unique sites:
Tc (0.000, 0.166, 0.000) [4 per cell]
Ni (0.000, 0.006, 0.757) [4 per cell]
Ni (0.000, 0.166, 0.508) [4 per cell]
Ni (0.000, 0.336, 0.255) [4 per cell]
Ni (0.000, 0.498, 0.501) [4 per cell]
Pt (0.000, 0.335, 0.754) [4 per cell]


(19)
First-principles (PBE) data for an optimized crystal structure of TcNi3Pt6, as listed in the Alexandria database.

Computed properties:
Energy of formation ... -0.106 eV per atom
Crystal system ... monoclinic

abc: 8.502 3.863 8.673
angles: 90.00 91.43 90.00
Space group P2_1/m (No. 11)
Unique sites:
Tc (0.045, 0.250, 0.410) [2 per cell]
Ni (0.256, 0.250, 0.998) [2 per cell]
Ni (0.353, 0.750, 0.806) [2 per cell]
Ni (0.452, 0.250, 0.604) [2 per cell]
Pt (0.054, 0.750, 0.900) [2 per cell]
Pt (0.155, 0.750, 0.201) [2 per cell]
Pt (0.157, 0.250, 0.704) [2 per cell]
Pt (0.259, 0.750, 0.508) [2 per cell]
Pt (0.359, 0.250, 0.306) [2 per cell]
Pt (0.456, 0.750, 0.101) [2 per cell]


(20)
First-principles (PBE) data for an optimized crystal structure of TcNi2Pt5, as listed in the Alexandria database.

Computed properties:
E above lowest polymorph ... 0.0 meV/atom
Energy of formation ... -0.081 eV per atom
Crystal system ... orthorhombic

abc: 5.478 11.029 3.825
angles: 90.00 90.00 90.00
Space group Pbam (No. 55)
Unique sites:
Tc (0.000, 0.000, 0.000) [2 per cell]
Ni (0.244, 0.121, 0.500) [4 per cell]
Pt (0.000, 0.500, 0.000) [2 per cell]
Pt (0.003, 0.245, 0.000) [4 per cell]
Pt (0.247, 0.880, 0.500) [4 per cell]


(21)
First-principles (PBE) data for an optimized crystal structure of TcNi4Pt, as listed in the Alexandria database.

Computed properties:
E above lowest polymorph ... 57.7 meV/atom
Energy of formation ... 0.028 eV per atom
Crystal system ... cubic

abc: 6.637 6.637 6.637
angles: 90.00 90.00 90.00
Space group F-43m (No. 216)
Unique sites:
Tc (0.000, 0.000, 0.000) [4 per cell]
Ni (0.125, 0.125, 0.625) [16 per cell]
Pt (0.250, 0.250, 0.250) [4 per cell]


(22)
First-principles (PBE) data for an optimized crystal structure of TcNiPt2, as listed in the Alexandria database.

Computed properties:
E above lowest polymorph ... 97.6 meV/atom
Energy of formation ... -0.055 eV per atom
Crystal system ... trigonal

abc: 2.7688 2.7688 25.9607
angles: 90.00 90.00 120.00
Space group R3m (No. 160, hexagonal axes)
Unique sites:
Tc (0.0000, 0.0000, 0.0000) [3 per cell]
Ni (0.0000, 0.0000, 0.8339) [3 per cell]
Pt (0.0000, 0.0000, 0.2485) [3 per cell]
Pt (0.0000, 0.0000, 0.4185) [3 per cell]


(23)
First-principles (PBE) data for an optimized crystal structure of Tc2Ni7Pt3, as listed in the Alexandria database.

Computed properties:
Energy of formation ... -0.042 eV per atom
Crystal system ... monoclinic

abc: 2.654 3.721 15.558
angles: 90.00 90.20 90.00
Space group Pm (No. 6)
Unique sites:
Tc (0.000, 0.000, 0.000) [1 per cell]
Tc (0.500, 0.500, 0.432) [1 per cell]
Ni (0.000, 0.000, 0.512) [1 per cell]
Ni (0.001, 0.000, 0.843) [1 per cell]
Ni (0.002, 0.000, 0.176) [1 per cell]
Ni (0.498, 0.500, 0.591) [1 per cell]
Ni (0.499, 0.500, 0.256) [1 per cell]
Ni (0.500, 0.500, 0.763) [1 per cell]
Ni (0.500, 0.500, 0.920) [1 per cell]
Pt (0.501, 0.500, 0.090) [1 per cell]
Pt (0.998, 0.000, 0.342) [1 per cell]
Pt (0.999, 0.000, 0.678) [1 per cell]


(24)
First-principles (PBE) data for an optimized crystal structure of TcNiPt2, as listed in the Alexandria database.

Computed properties:
E above lowest polymorph ... 72.2 meV/atom
Energy of formation ... -0.081 eV per atom
Crystal system ... orthorhombic

abc: 2.708 4.409 4.782
angles: 90.00 90.00 90.00
Space group Pmm2 (No. 25)
Unique sites:
Tc (0.000, 0.000, 0.000) [1 per cell]
Ni (0.000, 0.500, 0.688) [1 per cell]
Pt (0.500, 0.000, 0.516) [1 per cell]
Pt (0.500, 0.500, 0.176) [1 per cell]


In order of appearance, spin magnetization = 0.00; 0.00; 0.00; 0.05; 0.48; 0.00; 1.50; 0.00; 0.00; 3.99; 3.73; 0.00; 17.28; 0.00; 0.00; 0.00; 0.00; 0.00; 6.11; 0.00; 9.37; 2.52; 1.70; 0.00 μB/cell.
In order of appearance, D(E_F) = 17.96; 5.00; 5.88; 10.38; 3.47; 3.67; 8.46; 20.42; 13.40; 24.60; 30.29; 10.21; 159.78; 7.14; 4.39; 18.44; 24.25; 33.46; 31.02; 24.39; 33.74; 19.68; 17.35; 5.46 states/eV/cell.